# BaY3F11, relaxed, DFT PBEsol
data_BaY3F11
_chemical_formula_sum 'Ba2 Y6 F22'
_cell_length_a 8.6469
_cell_length_b 4.3482
_cell_length_c 16.0031
_cell_angle_alpha 90.00
_cell_angle_beta 90.00
_cell_angle_gamma 90.00
_symmetry_space_group_name_H-M 'P m m a'
_symmetry_Int_Tables_number 51
loop_
_symmetry_equiv_pos_as_xyz
'x,y,z'
'-x,-y,-z'
'-x+1/2,-y,z'
'x+1/2,y,-z'
'x+1/2,-y,-z'
'-x+1/2,y,z'
'-x,y,-z'
'x,-y,z'
loop_
_atom_site_label
_atom_site_type_symbol
_atom_site_fract_x
_atom_site_fract_y
_atom_site_fract_z
Ba1 Ba 0.2500 0.0000 0.0141
Y1 Y 0.0000 0.0000 0.5000
Y2 Y 0.0006 0.0000 0.2303
F1 F 0.0000 0.5000 0.5000
F2 F 0.0075 0.5000 0.7647
F3 F 0.0210 0.0000 0.3653
F4 F 0.0250 0.0000 0.9038
F5 F 0.2500 0.0000 0.2118
F6 F 0.2500 0.0000 0.5108
F7 F 0.2500 0.0000 0.7662
F8 F 0.2500 0.5000 0.0793
# **Theoretical density**: 3.4 g/cm³
# **Energy relative to the elements, uncorrected**: -4.031 eV/atom
# **Total magnetic moment**: 0.12 Bohr magnetons per cell

---

# Zr4IrOs, relaxed, DFT PBEsol
data_Zr4IrOs
_chemical_formula_sum 'Zr16 Ir4 Os4'
_cell_length_a 7.6116
_cell_length_b 7.6116
_cell_length_c 7.6116
_cell_angle_alpha 90.00
_cell_angle_beta 90.00
_cell_angle_gamma 90.00
_symmetry_space_group_name_H-M 'F -4 3 m'
_symmetry_Int_Tables_number 216
_symmetry_space_group_name_Hall 'F -4 2 3'
loop_
_atom_site_label
_atom_site_type_symbol
_atom_site_fract_x
_atom_site_fract_y
_atom_site_fract_z
Zr1 Zr 0.1251 0.1251 0.1251
Ir1 Ir 0.2500 0.2500 0.7500
Os1 Os 0.0000 0.0000 0.5000
# **Theoretical density**: 11.3 g/cm³
# **Formation energy**: 0.52 eV per atom
# **Total magnetic moment**: 0.01 Bohr magnetons per cell

---

# AgPtI2Cl, relaxed, DFT PBEsol
data_AgPtI2Cl
_chemical_formula_sum 'Ag1 Pt1 I2 Cl1'
_cell_length_a 5.3260
_cell_length_b 5.3260
_cell_length_c 5.1303
_cell_angle_alpha 90.00
_cell_angle_beta 90.00
_cell_angle_gamma 90.00
_symmetry_space_group_name_H-M 'P 4/m m m'
_symmetry_Int_Tables_number 123
_symmetry_space_group_name_Hall '-P 4 2'
loop_
_atom_site_label
_atom_site_type_symbol
_atom_site_fract_x
_atom_site_fract_y
_atom_site_fract_z
Ag1 Ag 0.0000 0.0000 0.0000
Pt1 Pt 0.0000 0.0000 0.5000
I1 I 0.0000 0.5000 0.0000
Cl1 Cl 0.5000 0.5000 0.5000
# **Theoretical density**: 6.8 g/cm³
# **Energy relative to the elements, uncorrected**: 0.900 eV/atom
# **Total magnetic moment**: 1.48 Bohr magnetons per cell

---

# Ca2CdCu, relaxed, DFT PBEsol
data_Ca2CdCu
_chemical_formula_sum 'Ca4 Cd2 Cu2'
_cell_length_a 4.3155
_cell_length_b 4.2756
_cell_length_c 11.2851
_cell_angle_alpha 90.00
_cell_angle_beta 90.00
_cell_angle_gamma 90.00
_symmetry_space_group_name_H-M 'A m m 2'
_symmetry_Int_Tables_number 38
loop_
_symmetry_equiv_pos_as_xyz
'x,y,z'
'-x,-y,z'
'-x,y,z'
'x,-y,z'
'x,y+1/2,z+1/2'
'-x,-y+1/2,z+1/2'
'-x,y+1/2,z+1/2'
'x,-y+1/2,z+1/2'
loop_
_atom_site_label
_atom_site_type_symbol
_atom_site_fract_x
_atom_site_fract_y
_atom_site_fract_z
Ca1 Ca 0.0000 0.0000 0.0000
Ca2 Ca 0.5000 0.0000 0.2915
Cd1 Cd 0.0000 0.0000 0.7091
Cu1 Cu 0.5000 0.0000 0.5721
# **Theoretical density**: 4.1 g/cm³
# **Formation energy**: -0.16 eV per atom
# **Total magnetic moment**: 0.00 Bohr magnetons per cell

---

# AlRh5, relaxed, DFT PBEsol
data_AlRh5
_chemical_formula_sum 'Al1 Rh5'
_cell_length_a 2.7216
_cell_length_b 2.7216
_cell_length_c 10.8618
_cell_angle_alpha 90.00
_cell_angle_beta 90.00
_cell_angle_gamma 90.00
_symmetry_space_group_name_H-M 'P 4/m m m'
_symmetry_Int_Tables_number 123
_symmetry_space_group_name_Hall '-P 4 2'
loop_
_atom_site_label
_atom_site_type_symbol
_atom_site_fract_x
_atom_site_fract_y
_atom_site_fract_z
Al1 Al 0.0000 0.0000 0.0000
Rh1 Rh 0.0000 0.0000 0.3306
Rh2 Rh 0.5000 0.5000 0.1561
Rh3 Rh 0.5000 0.5000 0.5000
# **Theoretical density**: 11.2 g/cm³
# **Formation energy**: -0.28 eV per atom
# **Total magnetic moment**: 0.00 Bohr magnetons per cell

---

# AlSbCl2, relaxed, DFT PBEsol
data_AlSbCl2
_chemical_formula_sum 'Al3 Sb3 Cl6'
_cell_length_a 3.3332
_cell_length_b 3.3332
_cell_length_c 27.1333
_cell_angle_alpha 90.00
_cell_angle_beta 90.00
_cell_angle_gamma 120.00
_symmetry_space_group_name_H-M 'R 3 m'
_symmetry_Int_Tables_number 160
_symmetry_space_group_name_Hall 'R 3 -2"'
loop_
_atom_site_label
_atom_site_type_symbol
_atom_site_fract_x
_atom_site_fract_y
_atom_site_fract_z
Al1 Al 0.0000 0.0000 0.0000
Sb1 Sb 0.0000 0.0000 0.2460
Cl1 Cl 0.0000 0.0000 0.5008
Cl2 Cl 0.0000 0.0000 0.7253
# **Theoretical density**: 4.2 g/cm³
# **Energy relative to the elements, uncorrected**: -0.416 eV/atom
# **Total magnetic moment**: 0.00 Bohr magnetons per cell

---

# TmAg, relaxed, DFT PBEsol
data_TmAg
_chemical_formula_sum 'Tm1 Ag1'
_cell_length_a 3.5225
_cell_length_b 3.5225
_cell_length_c 3.5225
_cell_angle_alpha 90.00
_cell_angle_beta 90.00
_cell_angle_gamma 90.00
_symmetry_space_group_name_H-M 'P m -3 m'
_symmetry_Int_Tables_number 221
_symmetry_space_group_name_Hall '-P 4 2 3'
loop_
_atom_site_label
_atom_site_type_symbol
_atom_site_fract_x
_atom_site_fract_y
_atom_site_fract_z
Tm1 Tm 0.0000 0.0000 0.0000
Ag1 Ag 0.5000 0.5000 0.5000
# **Theoretical density**: 10.5 g/cm³
# **Formation energy**: -0.36 eV per atom
# **Total magnetic moment**: 0.00 Bohr magnetons per cell

---

# CsCaRe2Tc, relaxed, DFT PBEsol
data_CsCaRe2Tc
_chemical_formula_sum 'Cs1 Ca1 Re2 Tc1'
_cell_length_a 4.7360
_cell_length_b 4.7360
_cell_length_c 5.5299
_cell_angle_alpha 90.00
_cell_angle_beta 90.00
_cell_angle_gamma 90.00
_symmetry_space_group_name_H-M 'P 4/m m m'
_symmetry_Int_Tables_number 123
_symmetry_space_group_name_Hall '-P 4 2'
loop_
_atom_site_label
_atom_site_type_symbol
_atom_site_fract_x
_atom_site_fract_y
_atom_site_fract_z
Cs1 Cs 0.0000 0.0000 0.0000
Ca1 Ca 0.5000 0.5000 0.0000
Re1 Re 0.0000 0.5000 0.5000
Tc1 Tc 0.0000 0.0000 0.5000
# **Theoretical density**: 8.6 g/cm³
# **Formation energy**: 1.76 eV per atom
# **Total magnetic moment**: 0.00 Bohr magnetons per cell